Entry 1:
Compound: CoSiHg2
Source: Alexandria
Functional: SCAN
Structure: single point on PBEsol structure

Lattice parameters (Å, degrees): 2.882 2.882 8.275 90.00 90.00 90.00
Space group P4/mmm (No. 123)
Symmetry-distinct sites (fractional):
Co  0.000  0.000  0.000 [1 per cell]
Si  0.000  0.000  0.500 [1 per cell]
Hg  0.500  0.500  0.219 [2 per cell]

## Properties
- ΔE_f (raw): 637 meV per atom



Entry 2:
Compound: Co2Si2Hg
Source: Alexandria
Functional: SCAN
Structure: single point on PBEsol structure

Lattice parameters (Å, degrees): 3.491 3.491 10.854 90.00 90.00 90.00
Space group I4/mmm (No. 139)
Symmetry-distinct sites (fractional):
Co  0.000  0.000  0.116 [4 per cell]
Si  0.000  0.500  0.250 [4 per cell]
Hg  0.000  0.000  0.500 [2 per cell]

## Properties
- ΔE_f (raw): -59 meV per atom



Entry 3:
Compound: CoSiHg2
Source: Alexandria
Functional: SCAN
Structure: single point on PBEsol structure

Lattice parameters (Å, degrees): 2.705 3.708 13.693 90.00 90.00 90.00
Space group Immm (No. 71)
Symmetry-distinct sites (fractional):
Co  0.000  0.000  0.000 [2 per cell]
Si  0.000  0.000  0.500 [2 per cell]
Hg  0.000  0.500  0.325 [4 per cell]

## Properties
- ΔE_f (raw): 141 meV per atom



Entry 4:
Compound: TaCoSiHg2
Source: Alexandria
Functional: SCAN
Structure: single point on PBEsol structure

Lattice parameters (Å, degrees): 4.790 4.790 4.101 90.00 90.00 90.00
Space group P4/mmm (No. 123)
Symmetry-distinct sites (fractional):
Ta  0.000  0.000  0.000 [1 per cell]
Co  0.500  0.500  0.000 [1 per cell]
Si  0.500  0.500  0.500 [1 per cell]
Hg  0.000  0.500  0.500 [2 per cell]

## Properties
- ΔE_f (raw): 1183 meV per atom



Entry 5:
Compound: Co3SnHg
Source: Alexandria
Functional: SCAN
Structure: single point on PBEsol structure

Lattice parameters (Å, degrees): 4.667 4.667 4.667 90.00 90.00 90.00
Space group Pm-3m (No. 221)
Symmetry-distinct sites (fractional):
Co  0.000  0.000  0.500 [3 per cell]
Sn  0.500  0.500  0.500 [1 per cell]
Hg  0.000  0.000  0.000 [1 per cell]

## Properties
- DFT formation energy: 622 kJ/mol of formula units



Entry 6:
Compound: Tl2CoSnHg
Source: Alexandria
Functional: SCAN
Structure: single point on PBEsol structure

Lattice parameters (Å, degrees): 5.019 5.019 4.804 90.00 90.00 90.00
Space group P4/mmm (No. 123)
Symmetry-distinct sites (fractional):
Tl  0.000  0.500  0.000 [2 per cell]
Co  0.000  0.000  0.000 [1 per cell]
Sn  0.000  0.000  0.500 [1 per cell]
Hg  0.500  0.500  0.500 [1 per cell]

## Properties
- DFT formation energy: 59 kJ/mol of formula units



Number 1: magnetic moment 1.71 μB/f.u.. Number 2: magnetic moment 0.00 μB/f.u.. Number 3: magnetic moment 0.00 μB/f.u.. Number 4: magnetic moment 0.87 μB/f.u.. Number 5: magnetic moment 5.83 μB/f.u.. Number 6: magnetic moment 0.00 μB/f.u..